[1]
# SrHf2ScP PBE optimized geometry
data_SrHf2ScP
_chemical_formula_sum 'Sr1 Hf2 Sc1 P1'
_space_group_name_H-M_alt 'P 4/m m m'
_space_group_IT_number 123
_space_group_name_Hall '-P 4 2'
_cell_length_a 5.1386
_cell_length_b 5.1386
_cell_length_c 5.2655
_cell_angle_alpha 90.00
_cell_angle_beta 90.00
_cell_angle_gamma 90.00
loop_
_atom_site_label
_atom_site_type_symbol
_atom_site_fract_x
_atom_site_fract_y
_atom_site_fract_z
Sr1 Sr 0.0000 0.0000 0.0000
Hf1 Hf 0.0000 0.5000 0.0000
Sc1 Sc 0.5000 0.5000 0.5000
P1 P 0.0000 0.0000 0.5000
# DFT formation energy in kJ/mol of formula units: 796

---

[2]
# CeTiAlZn PBE optimized geometry
data_CeTiAlZn
_chemical_formula_sum 'Ce4 Ti4 Al4 Zn4'
_space_group_name_H-M_alt 'F -4 3 m'
_space_group_IT_number 216
_space_group_name_Hall 'F -4 2 3'
_cell_length_a 6.8551
_cell_length_b 6.8551
_cell_length_c 6.8551
_cell_angle_alpha 90.00
_cell_angle_beta 90.00
_cell_angle_gamma 90.00
loop_
_atom_site_label
_atom_site_type_symbol
_atom_site_fract_x
_atom_site_fract_y
_atom_site_fract_z
Ce1 Ce 0.0000 0.0000 0.0000
Ti1 Ti 0.0000 0.0000 0.5000
Al1 Al 0.2500 0.2500 0.7500
Zn1 Zn 0.2500 0.2500 0.2500
# DFT formation energy in kJ/mol of formula units: -54

---

[3]
# SmGd2Mg PBE optimized geometry
data_SmGd2Mg
_chemical_formula_sum 'Sm1 Gd2 Mg1'
_space_group_name_H-M_alt 'P 4/m m m'
_space_group_IT_number 123
_space_group_name_Hall '-P 4 2'
_cell_length_a 4.9614
_cell_length_b 4.9614
_cell_length_c 4.9652
_cell_angle_alpha 90.00
_cell_angle_beta 90.00
_cell_angle_gamma 90.00
loop_
_atom_site_label
_atom_site_type_symbol
_atom_site_fract_x
_atom_site_fract_y
_atom_site_fract_z
Sm1 Sm 0.0000 0.0000 0.0000
Gd1 Gd 0.0000 0.5000 0.5000
Mg1 Mg 0.5000 0.5000 0.0000
# DFT formation energy in kJ/mol of formula units: -1
# Distance to the lowest polymorph of the same formula in meV/atom: 31

---

[4]
# SnHgSe PBE optimized geometry
data_SnHgSe
_chemical_formula_sum 'Sn2 Hg2 Se2'
_space_group_name_H-M_alt 'I 4 m m'
_space_group_IT_number 107
_space_group_name_Hall 'I 4 -2'
_cell_length_a 3.6847
_cell_length_b 3.6847
_cell_length_c 12.9211
_cell_angle_alpha 90.00
_cell_angle_beta 90.00
_cell_angle_gamma 90.00
loop_
_atom_site_label
_atom_site_type_symbol
_atom_site_fract_x
_atom_site_fract_y
_atom_site_fract_z
Sn1 Sn 0.0000 0.0000 0.0000
Hg1 Hg 0.0000 0.0000 0.2974
Se1 Se 0.0000 0.0000 0.6001
# Energy relative to the elements, uncorrected in eV per atom: -0.146
# Distance to the lowest polymorph of the same formula in meV/atom: 119

---

[5]
# KNiSb2 PBE optimized geometry
data_KNiSb2
_chemical_formula_sum 'K2 Ni2 Sb4'
_space_group_name_H-M_alt 'I m m m'
_space_group_IT_number 71
_space_group_name_Hall '-I 2 2'
_cell_length_a 3.1768
_cell_length_b 6.4067
_cell_length_c 10.5077
_cell_angle_alpha 90.00
_cell_angle_beta 90.00
_cell_angle_gamma 90.00
loop_
_atom_site_label
_atom_site_type_symbol
_atom_site_fract_x
_atom_site_fract_y
_atom_site_fract_z
K1 K 0.0000 0.0000 0.0000
Ni1 Ni 0.0000 0.0000 0.5000
Sb1 Sb 0.0000 0.5000 0.1889
# Energy relative to the elements, uncorrected in eV per atom: -0.098
# Distance to the lowest polymorph of the same formula in meV/atom: 194

---

[6]
# MgGe2TeRu PBE optimized geometry
data_MgGe2TeRu
_chemical_formula_sum 'Mg1 Ge2 Te1 Ru1'
_space_group_name_H-M_alt 'P 4/m m m'
_space_group_IT_number 123
_space_group_name_Hall '-P 4 2'
_cell_length_a 4.8526
_cell_length_b 4.8526
_cell_length_c 5.3790
_cell_angle_alpha 90.00
_cell_angle_beta 90.00
_cell_angle_gamma 90.00
loop_
_atom_site_label
_atom_site_type_symbol
_atom_site_fract_x
_atom_site_fract_y
_atom_site_fract_z
Mg1 Mg 0.0000 0.0000 0.0000
Ge1 Ge 0.0000 0.5000 0.0000
Te1 Te 0.0000 0.0000 0.5000
Ru1 Ru 0.5000 0.5000 0.5000
# Energy relative to the elements, uncorrected in eV per atom: 1.220

---

[7]
# LaTb2ScTe4 PBE optimized geometry
data_LaTb2ScTe4
_chemical_formula_sum 'La1 Tb2 Sc1 Te4'
_space_group_name_H-M_alt 'P 1 2/m 1'
_space_group_IT_number 10
_cell_length_a 7.5872
_cell_length_b 4.3387
_cell_length_c 7.6557
_cell_angle_alpha 90.00
_cell_angle_beta 108.92
_cell_angle_gamma 90.00
loop_
_space_group_symop_operation_xyz
'x,y,z'
'-x,-y,-z'
'-x,y,-z'
'x,-y,z'
loop_
_atom_site_label
_atom_site_type_symbol
_atom_site_fract_x
_atom_site_fract_y
_atom_site_fract_z
La1 La 0.0000 0.0000 0.0000
Tb1 Tb 0.5000 0.0000 0.5000
Tb2 Tb 0.5000 0.5000 0.0000
Sc1 Sc 0.0000 0.5000 0.5000
Te1 Te 0.2445 0.0000 0.7350
Te2 Te 0.2548 0.5000 0.2650
# Energy relative to the elements, uncorrected in eV per atom: -1.302

---

[8]
# LiScCu PBE optimized geometry
data_LiScCu
_chemical_formula_sum 'Li1 Sc1 Cu1'
_space_group_name_H-M_alt 'P 3 m 1'
_space_group_IT_number 156
_cell_length_a 3.1061
_cell_length_b 3.1061
_cell_length_c 6.6969
_cell_angle_alpha 90.00
_cell_angle_beta 90.00
_cell_angle_gamma 120.00
loop_
_space_group_symop_operation_xyz
'x,y,z'
'-y,x-y,z'
'-x+y,-x,z'
'-y,-x,z'
'-x+y,y,z'
'x,x-y,z'
loop_
_atom_site_label
_atom_site_type_symbol
_atom_site_fract_x
_atom_site_fract_y
_atom_site_fract_z
Li1 Li 0.0000 0.0000 0.0000
Sc1 Sc 0.6667 0.3333 0.3998
Cu1 Cu 0.3333 0.6667 0.7041
# DFT formation energy in kJ/mol of formula units: 39
# Distance to the lowest polymorph of the same formula in meV/atom: 201

---

[9]
# KAc2Bi PBE optimized geometry
data_KAc2Bi
_chemical_formula_sum 'K1 Ac2 Bi1'
_space_group_name_H-M_alt 'P 4/m m m'
_space_group_IT_number 123
_space_group_name_Hall '-P 4 2'
_cell_length_a 5.5375
_cell_length_b 5.5375
_cell_length_c 5.1280
_cell_angle_alpha 90.00
_cell_angle_beta 90.00
_cell_angle_gamma 90.00
loop_
_atom_site_label
_atom_site_type_symbol
_atom_site_fract_x
_atom_site_fract_y
_atom_site_fract_z
K1 K 0.0000 0.0000 0.0000
Ac1 Ac 0.0000 0.5000 0.5000
Bi1 Bi 0.5000 0.5000 0.0000
# DFT formation energy in kJ/mol of formula units: -66

---

[10]
# LaHo5Tm8 PBE optimized geometry
data_LaHo5Tm8
_chemical_formula_sum 'La2 Ho10 Tm16'
_space_group_name_H-M_alt 'I -4'
_space_group_IT_number 82
_cell_length_a 9.4839
_cell_length_b 9.4839
_cell_length_c 9.8944
_cell_angle_alpha 90.00
_cell_angle_beta 90.00
_cell_angle_gamma 90.00
loop_
_space_group_symop_operation_xyz
'x,y,z'
'y,-x,-z'
'-x,-y,z'
'-y,x,-z'
'x+1/2,y+1/2,z+1/2'
'y+1/2,-x+1/2,-z+1/2'
'-x+1/2,-y+1/2,z+1/2'
'-y+1/2,x+1/2,-z+1/2'
loop_
_atom_site_label
_atom_site_type_symbol
_atom_site_fract_x
_atom_site_fract_y
_atom_site_fract_z
La1 La 0.0000 0.0000 0.0000
Ho1 Ho 0.0000 0.5000 0.2500
Ho2 Ho 0.1128 0.7915 0.5779
Tm1 Tm 0.0711 0.6700 0.9041
Tm2 Tm 0.0910 0.8267 0.2478
# DFT formation energy in kJ/mol of formula units: 334

---

[11]
# AcZnIO6 PBE optimized geometry
data_AcZnIO6
_chemical_formula_sum 'Ac1 Zn1 I1 O6'
_space_group_name_H-M_alt 'P 3 1 2'
_space_group_IT_number 149
_cell_length_a 5.3525
_cell_length_b 5.3525
_cell_length_c 5.3295
_cell_angle_alpha 90.00
_cell_angle_beta 90.00
_cell_angle_gamma 120.00
loop_
_space_group_symop_operation_xyz
'x,y,z'
'-y,x-y,z'
'-x+y,-x,z'
'-y,-x,-z'
'-x+y,y,-z'
'x,x-y,-z'
loop_
_atom_site_label
_atom_site_type_symbol
_atom_site_fract_x
_atom_site_fract_y
_atom_site_fract_z
Ac1 Ac 0.0000 0.0000 0.0000
Zn1 Zn 0.3333 0.6667 0.5000
I1 I 0.6667 0.3333 0.5000
O1 O 0.3872 0.0308 0.7063
# Energy relative to the elements, uncorrected in eV per atom: -1.533

---

[12]
# MgHgRu2 PBE optimized geometry
data_MgHgRu2
_chemical_formula_sum 'Mg1 Hg1 Ru2'
_space_group_name_H-M_alt 'P 4/m m m'
_space_group_IT_number 123
_space_group_name_Hall '-P 4 2'
_cell_length_a 2.8576
_cell_length_b 2.8576
_cell_length_c 8.2586
_cell_angle_alpha 90.00
_cell_angle_beta 90.00
_cell_angle_gamma 90.00
loop_
_atom_site_label
_atom_site_type_symbol
_atom_site_fract_x
_atom_site_fract_y
_atom_site_fract_z
Mg1 Mg 0.0000 0.0000 0.0000
Hg1 Hg 0.0000 0.0000 0.5000
Ru1 Ru 0.5000 0.5000 0.2411
# DFT formation energy in kJ/mol of formula units: 178
# Distance to the lowest polymorph of the same formula in meV/atom: 386

---

[13]
# Be2BS PBE optimized geometry
data_Be2BS
_chemical_formula_sum 'Be4 B2 S2'
_space_group_name_H-M_alt 'P 1'
_space_group_IT_number 1
_cell_length_a 3.4662
_cell_length_b 3.5733
_cell_length_c 8.6385
_cell_angle_alpha 91.48
_cell_angle_beta 95.65
_cell_angle_gamma 118.85
loop_
_space_group_symop_operation_xyz
'x,y,z'
loop_
_atom_site_label
_atom_site_type_symbol
_atom_site_fract_x
_atom_site_fract_y
_atom_site_fract_z
Be1 Be 0.0000 0.0000 0.0000
Be2 Be 0.0154 0.2224 0.5384
Be3 Be 0.4561 0.9677 0.8618
Be4 Be 0.5688 0.5047 0.2027
B1 B 0.4886 0.4867 0.9599
B2 B 0.9827 0.4896 0.9452
S1 S 0.3730 0.9009 0.6134
S2 S 0.9239 0.1801 0.2883
# Energy relative to the elements, uncorrected in eV per atom: -0.353
# Distance to the lowest polymorph of the same formula in meV/atom: 0

---

[14]
# Si3Ni2 PBE optimized geometry
data_Si3Ni2
_chemical_formula_sum 'Si24 Ni16'
_space_group_name_H-M_alt 'F d d d'
_space_group_IT_number 70
_cell_length_a 3.2962
_cell_length_b 7.7542
_cell_length_c 20.3706
_cell_angle_alpha 90.00
_cell_angle_beta 90.00
_cell_angle_gamma 90.00
loop_
_space_group_symop_operation_xyz
'x,y,z'
'-x,-y,-z'
'-x+1/4,-y+1/4,z'
'x+1/4,y+1/4,-z'
'x,-y+1/4,-z+1/4'
'-x,y+1/4,z+1/4'
'-x+1/4,y,-z+1/4'
'x+1/4,-y,z+1/4'
'x,y+1/2,z+1/2'
'-x,-y+1/2,-z+1/2'
'-x+1/4,-y+3/4,z+1/2'
'x+1/4,y+3/4,-z+1/2'
'x,-y+3/4,-z+3/4'
'-x,y+3/4,z+3/4'
'-x+1/4,y+1/2,-z+3/4'
'x+1/4,-y+1/2,z+3/4'
'x+1/2,y,z+1/2'
'-x+1/2,-y,-z+1/2'
'-x+3/4,-y+1/4,z+1/2'
'x+3/4,y+1/4,-z+1/2'
'x+1/2,-y+1/4,-z+3/4'
'-x+1/2,y+1/4,z+3/4'
'-x+3/4,y,-z+3/4'
'x+3/4,-y,z+3/4'
'x+1/2,y+1/2,z'
'-x+1/2,-y+1/2,-z'
'-x+3/4,-y+3/4,z'
'x+3/4,y+3/4,-z'
'x+1/2,-y+3/4,-z+1/4'
'-x+1/2,y+3/4,z+1/4'
'-x+3/4,y+1/2,-z+1/4'
'x+3/4,-y+1/2,z+1/4'
loop_
_atom_site_label
_atom_site_type_symbol
_atom_site_fract_x
_atom_site_fract_y
_atom_site_fract_z
Si1 Si 0.1250 0.1250 0.0245
Si2 Si 0.1250 0.1250 0.6250
Ni1 Ni 0.1250 0.1250 0.4269
# Energy relative to the elements, uncorrected in eV per atom: -0.102